Entry 1:
First-principles (PBE) data for an optimized crystal structure of TbEr5Au6, as listed in Alexandria via LeMat-Bulk.

Cell: 8.7707 8.7707 5.0487 Å, 106.67 106.67 120.13°
Fractional coordinates of all 12 atoms:
Tb  0.0000  0.0000  0.0000
Er  0.1661  0.8339  0.5000
Er  0.3328  0.6672  0.0000
Er  0.5000  0.5000  0.5000
Er  0.6672  0.3328  0.0000
Er  0.8339  0.1661  0.5000
Au  0.0845  0.4210  0.2528
Au  0.2554  0.2554  0.7555
Au  0.4210  0.0845  0.2528
Au  0.5790  0.9155  0.7472
Au  0.7446  0.7446  0.2445
Au  0.9155  0.5790  0.7472

Values from the calculation:
* total energy: -4.803 eV/atom
* V: 22.90 A^3/atom

Entry 2:
First-principles (PBE) data for an optimized crystal structure of HoTmMg14, as listed in Alexandria via LeMat-Bulk.

Cell: 6.9188 6.9188 7.9542 Å, 90.00 90.00 90.00°
Fractional coordinates of all 16 atoms:
Ho  0.0000  0.0000  0.0000
Tm  0.5000  0.5000  0.0000
Mg  0.0000  0.0000  0.5000
Mg  0.0000  0.5000  0.0000
Mg  0.0000  0.5000  0.5000
Mg  0.2506  0.2506  0.2600
Mg  0.2506  0.2506  0.7400
Mg  0.2506  0.7494  0.2600
Mg  0.2506  0.7494  0.7400
Mg  0.5000  0.0000  0.0000
Mg  0.5000  0.0000  0.5000
Mg  0.5000  0.5000  0.5000
Mg  0.7494  0.2506  0.2600
Mg  0.7494  0.2506  0.7400
Mg  0.7494  0.7494  0.2600
Mg  0.7494  0.7494  0.7400

Values from the calculation:
* total energy: -1.980 eV/atom
* V: 23.80 A^3/atom

Entry 3:
First-principles (PBE) data for an optimized crystal structure of LaThAu4, as listed in Alexandria via LeMat-Bulk.

Cell: 3.5553 4.7872 8.3562 Å, 90.00 90.00 90.00°
Fractional coordinates of all 6 atoms:
La  0.0000  0.0000  0.0000
Th  0.0000  0.5000  0.5000
Au  0.5000  0.0000  0.3351
Au  0.5000  0.0000  0.6649
Au  0.5000  0.5000  0.1677
Au  0.5000  0.5000  0.8323

Values from the calculation:
* total energy: -4.998 eV/atom
* V: 23.70 A^3/atom

Entry 4:
First-principles (PBE) data for an optimized crystal structure of CeYGa2, as listed in Alexandria via LeMat-Bulk.

Cell: 9.1803 9.1803 9.1803 Å, 22.80 22.80 22.80°
Fractional coordinates of all 4 atoms:
Ce  0.0000  0.0000  0.0000
Y  0.5000  0.5000  0.5000
Ga  0.2483  0.2483  0.2483
Ga  0.7517  0.7517  0.7517

Values from the calculation:
* total energy: -4.953 eV/atom
* V: 25.48 A^3/atom

Entry 5:
First-principles (PBE) data for an optimized crystal structure of HoZn6Cd2, as listed in Alexandria via LeMat-Bulk.

Cell: 8.0251 8.0251 8.0251 Å, 157.09 122.75 62.48°
Fractional coordinates of all 9 atoms:
Ho  0.0000  0.0000  0.0000
Zn  0.0008  0.3256  0.6752
Zn  0.3283  0.5000  0.8283
Zn  0.3497  0.6744  0.6752
Zn  0.6503  0.3256  0.3248
Zn  0.6717  0.5000  0.1717
Zn  0.9992  0.6744  0.3248
Cd  0.3538  0.8538  0.5000
Cd  0.6462  0.1462  0.5000

Values from the calculation:
* total energy: -1.635 eV/atom
* V: 18.68 A^3/atom

Entry 6:
First-principles (PBE) data for an optimized crystal structure of Ac8Y2Er3, as listed in Alexandria via LeMat-Bulk.

Cell: 6.6220 6.6488 12.0230 Å, 90.07 100.70 99.68°
Fractional coordinates of all 13 atoms:
Ac  0.0434  0.4159  0.1491
Ac  0.1968  0.1174  0.7778
Ac  0.3404  0.8067  0.3829
Ac  0.4199  0.6553  0.6939
Ac  0.5801  0.3447  0.3061
Ac  0.6596  0.1933  0.6171
Ac  0.8032  0.8826  0.2222
Ac  0.9566  0.5841  0.8509
Y  0.1115  0.2664  0.4629
Y  0.8885  0.7336  0.5371
Er  0.2759  0.9613  0.0729
Er  0.5000  0.5000  0.0000
Er  0.7241  0.0387  0.9271

Values from the calculation:
* total energy: -4.512 eV/atom
* V: 39.42 A^3/atom

Entry 7:
First-principles (PBE) data for an optimized crystal structure of BeSi2Pb, as listed in Alexandria via LeMat-Bulk.

Cell: 3.9962 3.9962 6.2002 Å, 105.09 105.09 54.66°
Fractional coordinates of all 4 atoms:
Be  0.0000  0.0000  0.0000
Si  0.4932  0.4932  0.2249
Si  0.6765  0.6765  0.9559
Pb  0.2737  0.2737  0.5645

Values from the calculation:
* total energy: -4.168 eV/atom
* V: 19.31 A^3/atom
* raw formation energy: 1.608 eV/f.u.

Entry 8:
First-principles (PBE) data for an optimized crystal structure of GdCu5Sn, as listed in Alexandria via LeMat-Bulk.

Cell: 8.2870 5.0339 10.6123 Å, 90.00 90.00 90.00°
Fractional coordinates of all 28 atoms:
Gd  0.2476  0.2500  0.0610
Gd  0.2524  0.7500  0.5610
Gd  0.7476  0.2500  0.4390
Gd  0.7524  0.7500  0.9390
Cu  0.0607  0.7500  0.1029
Cu  0.0697  0.0009  0.3123
Cu  0.0697  0.4991  0.3123
Cu  0.0824  0.2500  0.5169
Cu  0.1821  0.2500  0.7427
Cu  0.3179  0.7500  0.2427
Cu  0.4176  0.7500  0.0169
Cu  0.4303  0.5009  0.8123
Cu  0.4303  0.9991  0.8123
Cu  0.4393  0.2500  0.6029
Cu  0.5607  0.7500  0.3971
Cu  0.5697  0.0009  0.1877
Cu  0.5697  0.4991  0.1877
Cu  0.5824  0.2500  0.9831
Cu  0.6821  0.2500  0.7573
Cu  0.8179  0.7500  0.2573
Cu  0.9176  0.7500  0.4831
Cu  0.9303  0.5009  0.6877
Cu  0.9303  0.9991  0.6877
Cu  0.9393  0.2500  0.8971
Sn  0.1383  0.7500  0.8606
Sn  0.3617  0.2500  0.3606
Sn  0.6383  0.7500  0.6394
Sn  0.8617  0.2500  0.1394

Values from the calculation:
* total energy: -5.770 eV/atom
* V: 15.81 A^3/atom